(1)
# CrPdIN2

Crystalline CrPdIN2 at its relaxed geometry (PBE, Alexandria).

- Spin magnetization: 0.00 μB/cell
- Formation energy without anion corrections: 0.664 eV/atom
- Final energy: -5.94 eV per atom
- ΔE to the lowest computed polymorph: 0 meV per atom

abc: 3.7197 3.7197 5.8373
angles: 90.00 90.00 90.00
Closest atoms and distances in Å follow each position.
Fractional positions:
I (0.0000, 0.0000, 0.5000)  4 Pd 2.63, 2 Cr 2.92
Cr (0.0000, 0.0000, 0.0000)  4 N 1.86
Pd (0.5000, 0.5000, 0.5000)  4 I 2.63
N (0.0000, 0.5000, 0.0000)  2 Cr 1.86
N (0.5000, 0.0000, 0.0000)  2 Cr 1.86

(2)
# CrPtI2N

Crystalline CrPtI2N at its relaxed geometry (PBE, Alexandria).

- Spin magnetization: 1.41 μB/cell
- Formation energy without anion corrections: 0.564 eV/atom
- Final energy: -4.85 eV per atom
- ΔE to the lowest computed polymorph: 0 meV per atom

abc: 5.4438 5.4438 3.5491
angles: 90.00 90.00 90.00
Closest atoms and distances in Å follow each position.
Fractional positions:
I (0.0000, 0.5000, 0.0000)  2 Cr 2.72
I (0.5000, 0.0000, 0.0000)  2 Cr 2.72
Cr (0.0000, 0.0000, 0.0000)  2 N 1.77
Pt (0.5000, 0.5000, 0.5000)  8 I 3.25, 2 Pt 3.55
N (0.0000, 0.0000, 0.5000)  2 Cr 1.77

formation energy without anion corrections of number 2 (CrPtI2N)?
0.564 eV/atom

Number 1 is which compound?
CrPdIN2

Among the records above, which one has the lowest formation energy without anion corrections?
CrPtI2N